! LiErO2 | Alexandria via LeMat-Bulk | PBE | optimized geometry; values from VASP
&SYSTEM
  ibrav = 0, nat = 4, ntyp = 3
/
ATOMIC_SPECIES
Li 6.94 Li.upf
Er 167.26 Er.upf
O 16.00 O.upf
CELL_PARAMETERS angstrom
1.659 0.958 5.508
-1.659 0.958 5.508
0.000 -1.915 5.508
ATOMIC_POSITIONS crystal
Li 0.000 0.000 0.000
Er 0.816 0.816 0.816
O 0.216 0.216 0.216
O 0.404 0.404 0.404
! Magnetization   0.0 μB/f.u.
! SG   No. 160
! Uncorrected energy   -27.58 eV per cell
! Crystal system   trigonal
! Excess energy over the best structure of this formula in the dataset   174 meV per atom